Below is Cd3HgTe4 after structural relaxation, with properties calculated at the PBE level.

Geometry as POSCAR:
```
Cd3HgTe4
1.0
-3.3120 3.3120 6.6163
3.3120 -3.3120 6.6163
3.3120 3.3120 -6.6163
Cd Hg Te
3 1 4
Direct
0.0000 0.0000 0.0000 Cd
0.2500 0.7500 0.5000 Cd
0.7500 0.2500 0.5000 Cd
0.5000 0.5000 0.0000 Hg
0.1236 0.1236 0.4982 Te
0.3746 0.8764 0.0000 Te
0.6254 0.6254 0.5018 Te
0.8764 0.3746 0.0000 Te
```

## Properties
As for the magnetization: 0.00 μB per formula unit. As for the space group: No. 121. The value obtained for the total energy is -18.70 eV per cell. The formation energy (no corrections) comes out at -3.08 eV/f.u.